Density functional theory data (PBE) for a geometry-optimized GaS2N2 structure.

The structure belongs to space group P4/mmm (No. 123); the cell edges are 3.659, 3.659 and 7.216 Å and the angles 90.00°, 90.00° and 90.00°. The distinct sites, in fractional coordinates, are Ga at (0.000, 0.000, 0.000), S at (0.000, 0.000, 0.500), S at (0.500, 0.500, 0.500) and N at (0.000, 0.500, 0.000).

As for the calculated volume: 19.324 A^3/atom. The raw formation energy comes out at 1.476 eV per atom. As for the total moment: 2.1 μB/f.u. The energy relative to the lowest polymorph listed for this composition is 1.58 eV/f.u.


Density functional theory data (PBE) for a geometry-optimized GaS2N2 structure.

The structure belongs to space group P4/mmm (No. 123); the cell edges are 3.429, 3.429 and 7.043 Å and the angles 90.00°, 90.00° and 90.00°. The distinct sites, in fractional coordinates, are Ga at (0.000, 0.000, 0.000), S at (0.500, 0.500, 0.000), S at (0.500, 0.500, 0.500) and N at (0.000, 0.500, 0.500).

As for the calculated volume: 16.560 A^3/atom. The raw formation energy comes out at 1.160 eV per atom. As for the total moment: 0.0 μB/f.u. The energy relative to the lowest polymorph listed for this composition is 0.00 eV/f.u.


Density functional theory data (PBE) for a geometry-optimized GaS2N2 structure.

The structure belongs to space group P4/mmm (No. 123); the cell edges are 3.966, 3.966 and 3.912 Å and the angles 90.00°, 90.00° and 90.00°. The distinct sites, in fractional coordinates, are Ga at (0.000, 0.000, 0.000), S at (0.000, 0.500, 0.500), N at (0.500, 0.500, 0.000) and N at (0.500, 0.500, 0.500).

As for the calculated volume: 12.307 A^3/atom. The raw formation energy comes out at 1.611 eV per atom. As for the total moment: 0.0 μB/f.u. The energy relative to the lowest polymorph listed for this composition is 2.25 eV/f.u.


Density functional theory data (PBE) for a geometry-optimized GaSbSN2 structure.

The structure belongs to space group P4/mmm (No. 123); the cell edges are 3.983, 3.983 and 5.409 Å and the angles 90.00°, 90.00° and 90.00°. The distinct sites, in fractional coordinates, are Ga at (0.000, 0.000, 0.000), Sb at (0.500, 0.500, 0.500), S at (0.500, 0.500, 0.000) and N at (0.000, 0.500, 0.500).

As for the calculated volume: 17.166 A^3/atom. The raw formation energy comes out at 1.064 eV per atom. As for the total moment: 0.7 μB/f.u. The energy relative to the lowest polymorph listed for this composition is 0.07 eV/f.u.